Record 1
YNbSbTe2 PBE relaxed; volume = 157.5 Å³/cell; VASP energy = -5.3835 eV per atom; raw formation energy = 4 meV per atom; energy above the most stable polymorph in this dataset = 0.000 eV per atom; calculated density = 5.9 Mg/m³; spin magnetization = 0.000 μB per formula unit
1.0
-0.555 -4.883 2.242
0.289 -2.278 -4.890
5.360 -0.382 0.494
Nb Te Sb Y
1 2 1 1
direct
0.000 0.000 0.000
0.500 0.000 0.000
0.000 0.500 0.000
0.000 0.000 0.500
0.500 0.500 0.500

Record 2
BaOsRh PBE relaxed; calculated formation energy = 1.98 eV per atom; volume = 76.3 Å³/cell; VASP energy = -4.8498 eV per atom; energy above the most stable polymorph in this dataset = 1.628 eV per atom; calculated density = 9.4 Mg/m³; spin magnetization = 2.554 μB per formula unit
1.0
4.080 0.339 2.429
0.003 -0.521 4.732
1.929 -3.883 1.966
Rh Os Ba
1 1 1
direct
0.500 0.500 0.500
0.000 0.000 0.000
0.250 0.250 0.250

Record 3
ScCu2Tc PBE relaxed; calculated formation energy = 0.07 eV per atom; volume = 59.5 Å³/cell; VASP energy = -6.1501 eV per atom; energy above the most stable polymorph in this dataset = 0.103 eV per atom; calculated density = 7.5 Mg/m³; spin magnetization = 0.000 μB per formula unit
1.0
0.432 -3.220 -2.941
0.264 -4.166 1.334
-3.328 -2.753 -0.739
Cu Tc Sc
2 1 1
direct
0.250 0.250 0.250
0.750 0.750 0.750
0.500 0.500 0.500
0.000 0.000 0.000